# 1
VASP calculation (PBE) on a relaxed KCaIn3 crystal.

extended XYZ file:
```
5
Lattice="5.898 0.000 0.000 0.000 5.898 0.000 0.000 0.000 5.898" Properties=species:S:1:pos:R:3 pbc="T T T"
K 0.000 0.000 0.000
Ca 2.949 2.949 2.949
In 0.000 0.000 2.949
In 0.000 2.949 0.000
In 2.949 0.000 0.000
```

Calculated values
* volume: 41.0 Å³ per atom
* theoretical density: 3.43 g/cm3
* energy of formation from the pure elements: 0.58 eV/atom

---

# 2
VASP calculation (PBE) on a relaxed La2BiTe crystal.

extended XYZ file:
```
4
Lattice="5.697 0.000 0.000 0.000 5.697 0.000 0.000 0.000 3.925" Properties=species:S:1:pos:R:3 pbc="T T T"
La 0.000 2.848 0.000
La 2.848 0.000 0.000
Bi 0.000 0.000 1.962
Te 2.848 2.848 1.962
```

Calculated values
* volume: 31.8 Å³ per atom
* theoretical density: 8.01 g/cm3
* uncorrected formation energy: -26.43 kcal/mol of atoms

---

# 3
VASP calculation (PBE) on a relaxed Li2SbPbCl6 crystal.

extended XYZ file:
```
10
Lattice="6.724 0.000 0.000 3.113 6.282 0.000 0.063 2.717 6.785" Properties=species:S:1:pos:R:3 pbc="T T T"
Li 0.000 0.000 0.000
Li 5.870 7.535 3.323
Sb 6.302 3.781 1.050
Pb 2.954 5.016 4.315
Cl 3.930 6.763 2.209
Cl 1.877 2.501 5.225
Cl 4.085 3.102 2.570
Cl 5.529 4.721 6.125
Cl 7.264 5.548 2.943
Cl 8.468 7.049 6.340
```

Calculated values
* volume: 28.7 Å³ per atom
* theoretical density: 3.22 g/cm3
* uncorrected formation energy: -27.43 kcal/mol of atoms

---

# 4
VASP calculation (PBE) on a relaxed AuS5 crystal.

extended XYZ file:
```
12
Lattice="4.474 0.000 0.000 0.000 15.338 0.000 -1.009 0.000 5.706" Properties=species:S:1:pos:R:3 pbc="T T T"
Au 0.563 3.834 2.571
Au 2.902 11.503 3.135
S -0.506 7.860 3.926
S -0.506 15.147 3.926
S 0.653 11.503 3.791
S 0.972 9.099 4.253
S 0.972 13.908 4.253
S 2.493 1.430 1.452
S 2.493 6.239 1.452
S 2.812 3.834 1.915
S 3.972 0.191 1.780
S 3.972 7.478 1.780
```

Calculated values
* volume: 32.6 Å³ per atom
* theoretical density: 3.03 g/cm3
* uncorrected formation energy: 5.52 kcal/mol of atoms

---

# 5
VASP calculation (PBE) on a relaxed SrLa2NdSe4 crystal.

extended XYZ file:
```
8
Lattice="7.471 0.000 0.000 0.000 4.300 0.000 -2.467 0.000 7.080" Properties=species:S:1:pos:R:3 pbc="T T T"
Sr 0.000 0.000 0.000
La 2.502 0.000 3.540
La 3.736 2.150 0.000
Nd -1.234 2.150 3.540
Se 0.005 0.000 5.287
Se 1.244 2.150 1.793
Se 3.760 2.150 5.288
Se 4.999 0.000 1.793
```

Calculated values
* volume: 28.4 Å³ per atom
* theoretical density: 6.03 g/cm3
* uncorrected formation energy: -44.90 kcal/mol of atoms

---

# 6
VASP calculation (PBE) on a relaxed YEr2MgHg4 crystal.

extended XYZ file:
```
8
Lattice="2.567 1.482 8.515 -2.567 1.482 8.515 0.000 -2.964 8.515" Properties=species:S:1:pos:R:3 pbc="T T T"
Y 0.000 0.000 0.000
Er 0.000 0.000 6.275
Er 0.000 0.000 19.271
Mg 0.000 0.000 12.773
Hg 0.000 0.000 3.195
Hg 0.000 0.000 9.566
Hg 0.000 0.000 15.980
Hg 0.000 0.000 22.351
```

Calculated values
* volume: 24.3 Å³ per atom
* theoretical density: 10.68 g/cm3
* energy of formation from the pure elements: -0.47 eV/atom